VASP calculation (PBE+U) on GeMoO3 after structural relaxation.

a b c (Å): 3.777 3.777 3.777
angles (deg): 90.00 90.00 90.00
Positions (direct):
Mo 0.500 0.500 0.500
Ge 0.000 0.000 0.000
O 0.000 0.500 0.000
O 0.000 0.000 0.500
O 0.500 0.000 0.000

Calculated values
**Energy**: -6.11 eV per atom
**Calculated volume**: 53.9 Å³/cell
**SG**: No. 221
**Total magnetic moment**: 3.938 μB per formula unit